No. 1
The following is a DFT calculation (PBEsol) of crystalline PdSN2F at its relaxed geometry.

Relative energy among the computed polymorphs (eV/f.u.): 4.86
ΔE_f (raw) (eV/atom): 2.117

a b c (Å): 3.535 3.535 5.539
angles (deg): 90.00 90.00 90.00
Space group P4/mmm (No. 123)
Asymmetric unit:
1 Pd 0.000 0.000 0.000 [1 per cell]
2 S 0.500 0.500 0.000 [1 per cell]
3 N 0.000 0.500 0.500 [2 per cell]
4 F 0.500 0.500 0.500 [1 per cell]

No. 2
The following is a DFT calculation (PBEsol) of crystalline ScPdN2F at its relaxed geometry.

ΔE_f (raw) (eV/atom): 0.014

a b c (Å): 4.148 4.148 3.828
angles (deg): 90.00 90.00 90.00
Space group P4/mmm (No. 123)
Asymmetric unit:
1 Sc 0.000 0.000 0.000 [1 per cell]
2 Pd 0.500 0.500 0.500 [1 per cell]
3 N 0.000 0.500 0.000 [2 per cell]
4 F 0.000 0.000 0.500 [1 per cell]

No. 3
The following is a DFT calculation (PBEsol) of crystalline SnPdN2F at its relaxed geometry.

ΔE_f (raw) (eV/atom): 0.662

a b c (Å): 4.096 4.096 3.972
angles (deg): 90.00 90.00 90.00
Space group P4/mmm (No. 123)
Asymmetric unit:
1 Sn 0.000 0.000 0.000 [1 per cell]
2 Pd 0.500 0.500 0.500 [1 per cell]
3 N 0.000 0.500 0.000 [2 per cell]
4 F 0.000 0.000 0.500 [1 per cell]